Record 1
VASP calculation (PBE) on an optimized crystal structure of CsTiBr3.

```
CsTiBr3
1.0
5.3808 0.0000 0.0000
0.0000 5.3808 0.0000
0.0000 0.0000 5.3808
Cs Ti Br
1 1 3
direct
0.0000 0.0000 0.0000
0.5000 0.5000 0.5000
0.0000 0.5000 0.5000
0.5000 0.0000 0.5000
0.5000 0.5000 0.0000
```

Excess energy over the best structure of this formula in the dataset, meV per atom: 94
Symmetry: Pm-3m (221)
Formation energy without anion corrections, eV/atom: -1.293

Record 2
VASP calculation (PBE) on an optimized crystal structure of Ti5Ga8Ir.

```
Ti5Ga8Ir
1.0
-3.8992 3.8992 3.8127
3.8992 -3.8992 3.8127
3.8992 3.8992 -3.8127
Ti Ga Ir
5 8 1
direct
0.0000 0.0000 0.0000
0.2352 0.6461 0.1953
0.3539 0.5492 0.5891
0.4508 0.0399 0.8047
0.9601 0.7648 0.4109
0.1077 0.6848 0.7904
0.1533 0.2560 0.7735
0.3152 0.1055 0.4229
0.4824 0.3798 0.2265
0.6202 0.8467 0.1026
0.6826 0.8923 0.5771
0.7440 0.5176 0.8974
0.8945 0.3174 0.2096
0.7500 0.2500 0.5000
```

Symmetry: I-4 (82)
Energy of formation, eV/atom: -0.26

Record 3
VASP calculation (PBE) on an optimized crystal structure of Zr2BMoN.

```
Zr2BMoN
1.0
4.6875 0.0000 0.0000
0.0000 4.6875 0.0000
0.0000 0.0000 3.1747
Zr B Mo N
2 1 1 1
direct
0.0000 0.5000 0.0000
0.5000 0.0000 0.0000
0.0000 0.0000 0.5000
0.5000 0.5000 0.5000
0.0000 0.0000 0.0000
```

Symmetry: P4/mmm (123)
Formation energy without anion corrections, eV/atom: -0.140

Record 4
VASP calculation (PBE) on an optimized crystal structure of Sr2Ga7Ni.

```
Sr2Ga7Ni
1.0
4.3867 0.0000 0.0000
0.0000 4.3867 0.0000
0.0000 0.0000 10.7590
Sr Ga Ni
2 7 1
direct
0.0000 0.5000 0.2424
0.5000 0.0000 0.7576
0.0000 0.0000 0.0000
0.0000 0.0000 0.5000
0.0000 0.5000 0.6394
0.0000 0.5000 0.8809
0.5000 0.0000 0.1191
0.5000 0.0000 0.3606
0.5000 0.5000 0.5000
0.5000 0.5000 0.0000
```

Symmetry: P-4m2 (115)
Energy of formation, eV/atom: -0.41

Record 5
VASP calculation (PBE) on an optimized crystal structure of La2Y.

```
La2Y
1.0
5.8594 0.0000 0.0000
0.0000 5.8594 0.0000
0.0000 0.0000 3.5823
La Y
2 1
direct
0.0000 0.5000 0.0000
0.5000 0.0000 0.0000
0.0000 0.0000 0.5000
```

Excess energy over the best structure of this formula in the dataset, meV per atom: 395
Symmetry: P4/mmm (123)
Energy of formation, eV/atom: 0.41

Record 6
VASP calculation (PBE) on an optimized crystal structure of CrMo3Br.

```
CrMo3Br
1.0
4.5461 0.0000 0.0000
0.0000 4.5461 0.0000
0.0000 0.0000 4.5461
Cr Mo Br
1 3 1
direct
0.0000 0.0000 0.0000
0.0000 0.5000 0.5000
0.5000 0.0000 0.5000
0.5000 0.5000 0.0000
0.5000 0.5000 0.5000
```

Excess energy over the best structure of this formula in the dataset, meV per atom: 398
Symmetry: Pm-3m (221)
Formation energy without anion corrections, eV/atom: 1.972

Record 7
VASP calculation (PBE) on an optimized crystal structure of Na2Cd5Pt2Au.

```
Na2Cd5Pt2Au
1.0
10.4981 0.0000 0.0000
0.0000 10.4981 0.0000
0.0000 0.0000 3.9398
Na Cd Pt Au
4 10 4 2
direct
0.1700 0.3300 0.0000
0.3300 0.8300 0.0000
0.6700 0.1700 0.0000
0.8300 0.6700 0.0000
0.0000 0.5000 0.5000
0.0691 0.8041 0.5000
0.1959 0.0691 0.5000
0.3041 0.5691 0.5000
0.4309 0.3041 0.5000
0.5000 0.0000 0.5000
0.5691 0.6959 0.5000
0.6959 0.4309 0.5000
0.8041 0.9309 0.5000
0.9309 0.1959 0.5000
0.1283 0.6283 0.0000
0.3717 0.1283 0.0000
0.6283 0.8717 0.0000
0.8717 0.3717 0.0000
0.0000 0.0000 0.0000
0.5000 0.5000 0.0000
```

Symmetry: P4/mbm (127)
Energy of formation, eV/atom: -0.25

Record 8
VASP calculation (PBE) on an optimized crystal structure of CaSI3.

```
CaSI3
1.0
6.1211 0.0000 0.0000
0.0000 6.1211 0.0000
0.0000 0.0000 6.1211
Ca S I
1 1 3
direct
0.0000 0.0000 0.0000
0.5000 0.5000 0.5000
0.0000 0.0000 0.5000
0.0000 0.5000 0.0000
0.5000 0.0000 0.0000
```

Excess energy over the best structure of this formula in the dataset, meV per atom: 62
Symmetry: Pm-3m (221)
Formation energy without anion corrections, eV/atom: -0.218

no.,DOS at the Fermi energy (states/eV/cell),density (g cm⁻³),uncorrected energy (eV for the cell shown)
1,6.18,4.48,-20.2
2,10.62,7.09,-76.1
3,4.24,7.22,-43.6
4,3.53,5.79,-34.4
5,5.34,4.95,-15.1
6,7.32,7.42,-33.9
7,5.46,9.14,-50.1
8,7.70,3.28,-11.9